# 1
Sr2MnCr | the Alexandria database | GGA-PBE | optimized geometry; DFT formation energy = 0.729 eV per atom; electronic total energy = -19.24 eV for the cell shown; spin magnetization = 8.122 μB per formula unit; distance to the lowest polymorph of the same formula = 252 meV per atom
1.0
-3.314 -5.598 1.656
2.658 -4.266 4.449
-2.158 6.241 -1.204
Sr Mn Cr
2 1 1
direct
0.730 0.230 0.500
0.021 0.021 0.000
0.287 0.787 0.500
0.462 0.462 0.000

# 2
RbCdHg6 | the Alexandria database | GGA-PBE | optimized geometry; DFT formation energy = -0.057 eV per atom; electronic total energy = -4.15 eV for the cell shown; spin magnetization = 0.000 μB per formula unit; distance to the lowest polymorph of the same formula = 48 meV per atom
1.0
-1.603 3.787 -4.805
-5.550 1.191 2.790
2.576 4.924 3.021
Cd Hg Rb
1 6 1
direct
0.000 0.000 0.000
0.761 0.000 0.500
0.000 0.500 0.239
0.239 0.000 0.500
0.500 0.761 0.000
0.500 0.239 0.000
0.000 0.500 0.761
0.500 0.500 0.500

# 3
BaHfAs2I | the Alexandria database | GGA-PBE | optimized geometry; electronic total energy = -19.74 eV for the cell shown; spin magnetization = 0.457 μB per formula unit; raw formation energy = 58 kJ/mol of atoms
1.0
-1.071 -5.359 1.740
-1.502 -1.261 -4.808
5.385 -1.495 -1.290
Hf Ba I As
1 1 1 2
direct
0.000 0.500 0.000
0.500 0.500 0.500
0.000 0.000 0.000
0.500 0.000 0.000
0.000 0.000 0.500

# 4
HPd6Pb | the Alexandria database | GGA-PBE | optimized geometry; electronic total energy = -38.67 eV for the cell shown; spin magnetization = 0.000 μB per formula unit
1.0
5.009 -0.617 -0.154
-0.239 5.041 -0.154
1.139 1.057 4.805
Pd Pb H
6 1 1
direct
0.718 0.086 0.282
0.282 0.282 0.086
0.086 0.718 0.282
0.718 0.718 0.914
0.282 0.914 0.718
0.914 0.282 0.718
0.500 0.500 0.500
0.000 0.000 0.000

# 5
NaLaNdHo | the Alexandria database | GGA-PBE | optimized geometry; DFT formation energy = 0.254 eV per atom; electronic total energy = -14.58 eV for the cell shown; spin magnetization = 0.000 μB per formula unit
1.0
-2.757 1.409 4.889
1.000 -2.993 4.851
2.912 2.448 4.361
Ho Na Nd La
1 1 1 1
direct
0.000 0.000 0.000
0.500 0.500 0.500
0.250 0.250 0.250
0.750 0.750 0.750

# 6
LaPuUN3 | the Alexandria database | GGA-PBE | optimized geometry; electronic total energy = -124.43 eV for the cell shown; spin magnetization = 6.990 μB per formula unit; raw formation energy = -108 kJ/mol of atoms
1.0
3.429 0.000 0.000
0.000 6.545 0.063
0.000 -2.595 9.162
N U La Pu
6 2 2 2
direct
0.250 0.107 0.863
0.750 0.893 0.137
0.750 0.171 0.458
0.750 0.446 0.171
0.250 0.554 0.829
0.250 0.829 0.542
0.250 0.665 0.076
0.750 0.335 0.924
0.250 0.208 0.248
0.750 0.792 0.752
0.750 0.791 0.383
0.250 0.209 0.617